No. 1
{"formula": "Sc2Al2GaRh5", "functional": "PBE-GGA", "state": "relaxed", "lattice_angstrom": [[-0.992, -0.882, -3.035], [3.367, -8.997, 1.514], [-8.646, -2.631, 3.590]], "species": ["Ga", "Ga", "Al", "Al", "Al", "Al", "Rh", "Rh", "Rh", "Rh", "Rh", "Rh", "Rh", "Rh", "Rh", "Rh", "Sc", "Sc", "Sc", "Sc"], "fractional_positions": [[0.000, 0.000, 0.000], [0.000, 0.500, 0.500], [0.000, 0.129, 0.629], [0.000, 0.629, 0.871], [0.000, 0.371, 0.129], [0.000, 0.871, 0.371], [0.500, 0.300, 0.568], [0.500, 0.800, 0.932], [0.500, 0.432, 0.300], [0.500, 0.000, 0.500], [0.500, 0.500, 0.000], [0.500, 0.068, 0.800], [0.500, 0.568, 0.700], [0.500, 0.700, 0.432], [0.500, 0.200, 0.068], [0.500, 0.932, 0.200], [0.000, 0.672, 0.172], [0.000, 0.828, 0.672], [0.000, 0.172, 0.328], [0.000, 0.328, 0.828]], "density_kg_m3": 7720, "sg": "P4/mbm (127)", "ef_ev_per_atom": -0.8593, "magnetic_moment_mub_per_fu": 0.0}

---

No. 2
{"formula": "ScAlGaRh", "functional": "PBE-GGA", "state": "relaxed", "lattice_angstrom": [[-2.470, -3.413, -1.558], [1.911, -3.186, -2.525], [0.580, -4.134, 1.659]], "species": ["Al", "Rh", "Ga", "Sc"], "fractional_positions": [[0.000, 0.000, 0.000], [0.750, 0.750, 0.750], [0.250, 0.250, 0.250], [0.500, 0.500, 0.500]], "density_kg_m3": 6336, "sg": "F-43m (216)", "ef_ev_per_atom": -0.6716, "magnetic_moment_mub_per_fu": 0.0}

---

No. 3
{"formula": "AlGa2Si2Rh5", "functional": "PBE-GGA", "state": "relaxed", "lattice_angstrom": [[2.870, 0.000, 0.000], [0.000, 10.113, 0.000], [0.000, 0.000, 10.113]], "species": ["Si", "Si", "Si", "Si", "Rh", "Rh", "Rh", "Rh", "Rh", "Rh", "Rh", "Rh", "Rh", "Rh", "Al", "Al", "Ga", "Ga", "Ga", "Ga"], "fractional_positions": [[0.000, 0.857, 0.357], [0.000, 0.143, 0.643], [0.000, 0.643, 0.857], [0.000, 0.357, 0.143], [0.500, 0.133, 0.836], [0.500, 0.836, 0.867], [0.500, 0.500, 0.000], [0.500, 0.336, 0.633], [0.500, 0.000, 0.500], [0.500, 0.164, 0.133], [0.500, 0.867, 0.164], [0.500, 0.633, 0.664], [0.500, 0.664, 0.367], [0.500, 0.367, 0.336], [0.000, 0.000, 0.000], [0.000, 0.500, 0.500], [0.000, 0.154, 0.346], [0.000, 0.846, 0.654], [0.000, 0.346, 0.846], [0.000, 0.654, 0.154]], "density_kg_m3": 8342, "sg": "P4/mbm (127)", "e_form_raw_ev_per_atom": -0.64, "magnetic_moment_mub_per_fu": 0.0}

---

No. 4
{"formula": "SmAl2GaRh2", "functional": "PBE-GGA", "state": "relaxed", "lattice_angstrom": [[4.581, 0.000, 0.000], [0.000, 4.581, 0.000], [0.000, 0.000, 5.653]], "species": ["Ga", "Rh", "Rh", "Al", "Al", "Sm"], "fractional_positions": [[0.000, 0.000, 0.000], [0.000, 0.500, 0.000], [0.500, 0.000, 0.000], [0.500, 0.500, 0.750], [0.500, 0.500, 0.250], [0.000, 0.000, 0.500]], "density_kg_m3": 6717, "sg": "P4/mmm (123)", "ef_ev_per_atom": -0.4548, "magnetic_moment_mub_per_fu": 0.0}

---

No. 5
{"formula": "Sm2AlGa4Rh3", "functional": "PBE-GGA", "state": "relaxed", "lattice_angstrom": [[4.050, 0.000, 0.000], [0.000, 4.050, 0.000], [0.000, 0.000, 11.334]], "species": ["Ga", "Ga", "Ga", "Ga", "Rh", "Rh", "Rh", "Sm", "Sm", "Al"], "fractional_positions": [[0.000, 0.000, 0.000], [0.500, 0.000, 0.641], [0.500, 0.500, 0.000], [0.000, 0.500, 0.359], [0.000, 0.000, 0.500], [0.000, 0.500, 0.135], [0.500, 0.000, 0.865], [0.500, 0.000, 0.243], [0.000, 0.500, 0.757], [0.500, 0.500, 0.500]], "density_kg_m3": 8177, "sg": "P-4m2 (115)", "ef_ev_per_atom": -0.7306, "magnetic_moment_mub_per_fu": 0.0}

---

No. 6
{"formula": "Al2GaSn2Rh5", "functional": "PBE-GGA", "state": "relaxed", "lattice_angstrom": [[2.993, 0.000, 0.000], [0.000, 10.423, 0.000], [0.000, 0.000, 10.423]], "species": ["Rh", "Rh", "Rh", "Rh", "Rh", "Rh", "Rh", "Rh", "Rh", "Rh", "Al", "Al", "Al", "Al", "Sn", "Sn", "Sn", "Sn", "Ga", "Ga"], "fractional_positions": [[0.500, 0.161, 0.128], [0.500, 0.500, 0.000], [0.500, 0.628, 0.661], [0.500, 0.872, 0.161], [0.500, 0.839, 0.872], [0.500, 0.128, 0.839], [0.500, 0.000, 0.500], [0.500, 0.339, 0.628], [0.500, 0.661, 0.372], [0.500, 0.372, 0.339], [0.000, 0.357, 0.143], [0.000, 0.143, 0.643], [0.000, 0.857, 0.357], [0.000, 0.643, 0.857], [0.000, 0.156, 0.344], [0.000, 0.844, 0.656], [0.000, 0.656, 0.156], [0.000, 0.344, 0.844], [0.000, 0.500, 0.500], [0.000, 0.000, 0.000]], "density_kg_m3": 8942, "sg": "P4/mbm (127)", "ef_ev_per_atom": -0.5363, "magnetic_moment_mub_per_fu": 0.0}